No. 1
Tm8OsPt2: relaxed, GGA-PBE.

The structure in POSCAR format:
```
Tm8OsPt2
1.0
8.485 -2.468 0.000
8.485 2.468 0.000
-2.045 0.000 6.421
Tm Os Pt
8 1 2
direct
0.031 0.031 0.295 Tm
0.201 0.201 0.806 Tm
0.335 0.335 0.537 Tm
0.406 0.406 0.059 Tm
0.594 0.594 0.941 Tm
0.665 0.665 0.463 Tm
0.799 0.799 0.194 Tm
0.969 0.969 0.705 Tm
0.500 0.500 0.500 Os
0.186 0.186 0.203 Pt
0.814 0.814 0.797 Pt
```

Formation enthalpy at 0 K in eV/atom: -0.6153
Size of the total moment in μB/atom: 0.000
V in Å³ per cell: 268.98
Space group: C2/m
Relative energy among the computed polymorphs in kJ per mole of atoms: 0.0

=====

No. 2
Tm5OsPt: relaxed, GGA-PBE.

The structure in POSCAR format:
```
Tm5OsPt
1.0
5.941 -5.552 0.000
5.941 5.552 0.000
-1.594 0.000 5.485
Tm Os Pt
10 2 2
direct
0.100 0.900 0.750 Tm
0.127 0.341 0.890 Tm
0.305 0.567 0.459 Tm
0.341 0.127 0.390 Tm
0.433 0.695 0.041 Tm
0.567 0.305 0.959 Tm
0.659 0.873 0.610 Tm
0.695 0.433 0.541 Tm
0.873 0.659 0.110 Tm
0.900 0.100 0.250 Tm
0.159 0.841 0.250 Os
0.841 0.159 0.750 Os
0.000 0.500 0.500 Pt
0.500 0.000 0.000 Pt
```

Formation enthalpy at 0 K in eV/atom: -0.3343
Size of the total moment in μB/atom: 0.000
V in Å³ per cell: 361.87
Space group: C2/c

=====

No. 3
Tm8OsPt2: relaxed, GGA-PBE.

The structure in POSCAR format:
```
Tm8OsPt2
1.0
4.178 -6.268 0.000
4.178 6.268 0.000
-1.899 0.000 5.461
Tm Os Pt
8 1 2
direct
0.000 0.000 0.000 Tm
0.024 0.276 0.592 Tm
0.143 0.570 0.177 Tm
0.276 0.024 0.592 Tm
0.429 0.681 0.784 Tm
0.570 0.143 0.177 Tm
0.681 0.429 0.784 Tm
0.707 0.707 0.355 Tm
0.356 0.356 0.022 Os
0.037 0.662 0.676 Pt
0.662 0.037 0.676 Pt
```

Formation enthalpy at 0 K in eV/atom: -0.5222
Size of the total moment in μB/atom: 0.000
V in Å³ per cell: 286.00
Space group: Cm
Relative energy among the computed polymorphs in kJ per mole of atoms: 9.0

=====

No. 4
Tm5Os2Pt: relaxed, GGA-PBE.

The structure in POSCAR format:
```
Tm5Os2Pt
1.0
-3.659 3.659 6.937
3.659 -3.659 6.937
3.659 3.659 -6.937
Tm Os Pt
10 4 2
direct
0.000 0.000 0.000 Tm
0.035 0.535 0.851 Tm
0.184 0.035 0.500 Tm
0.316 0.816 0.851 Tm
0.465 0.316 0.500 Tm
0.500 0.500 0.000 Tm
0.535 0.684 0.500 Tm
0.684 0.184 0.149 Tm
0.816 0.965 0.500 Tm
0.965 0.465 0.149 Tm
0.122 0.378 0.500 Os
0.378 0.878 0.255 Os
0.622 0.122 0.745 Os
0.878 0.622 0.500 Os
0.250 0.250 0.000 Pt
0.750 0.750 0.000 Pt
```

Formation enthalpy at 0 K in eV/atom: -0.5648
Size of the total moment in μB/atom: 0.000
V in Å³ per cell: 371.46
Space group: I4/mcm

=====

No. 5
YTmOsPt: relaxed, GGA-PBE.

The structure in POSCAR format:
```
YTmOsPt
1.0
0.000 3.425 3.425
3.425 0.000 3.425
3.425 3.425 0.000
Y Tm Os Pt
1 1 1 1
direct
0.000 0.000 0.000 Y
0.500 0.500 0.500 Tm
0.250 0.250 0.250 Os
0.750 0.750 0.750 Pt
```

Formation enthalpy at 0 K in eV/atom: -0.6822
Size of the total moment in μB/atom: 0.000
V in Å³ per cell: 80.37
Space group: F-43m

=====

No. 6
UOs2Pt: relaxed, GGA-PBE.

The structure in POSCAR format:
```
UOs2Pt
1.0
4.123 0.000 0.000
0.000 4.123 0.000
0.000 0.000 3.914
U Os Pt
1 2 1
direct
0.000 0.000 0.000 U
0.000 0.500 0.500 Os
0.500 0.000 0.500 Os
0.500 0.500 0.000 Pt
```

Formation enthalpy at 0 K in eV/atom: -0.3724
Size of the total moment in μB/atom: 0.000
V in Å³ per cell: 66.52
Space group: P4/mmm

=====

No. 7
U4OsPt: relaxed, GGA-PBE.

The structure in POSCAR format:
```
U4OsPt
1.0
3.378 -3.204 0.000
3.378 3.204 0.000
-2.287 0.000 6.426
U Os Pt
4 1 1
direct
0.049 0.429 0.239 U
0.429 0.049 0.239 U
0.571 0.951 0.761 U
0.951 0.571 0.761 U
0.500 0.500 0.000 Os
0.000 0.000 0.500 Pt
```

Formation enthalpy at 0 K in eV/atom: 0.1029
Size of the total moment in μB/atom: 0.000
V in Å³ per cell: 139.10
Space group: C2/m

=====

No. 8
U2OsPt: relaxed, GGA-PBE.

The structure in POSCAR format:
```
U2OsPt
1.0
1.469 0.848 10.140
-1.469 0.848 10.140
0.000 -1.696 10.140
U Os Pt
2 1 1
direct
0.089 0.089 0.089 U
0.911 0.911 0.911 U
0.500 0.500 0.500 Os
0.000 0.000 0.000 Pt
```

Formation enthalpy at 0 K in eV/atom: 0.1561
Size of the total moment in μB/atom: 0.080
V in Å³ per cell: 75.81
Space group: R-3m

=====

No. 9
U2OsPt: relaxed, GGA-PBE.

The structure in POSCAR format:
```
U2OsPt
1.0
4.210 0.000 0.000
0.000 4.210 0.000
0.000 0.000 4.203
U Os Pt
2 1 1
direct
0.000 0.500 0.000 U
0.500 0.000 0.000 U
0.000 0.000 0.500 Os
0.500 0.500 0.500 Pt
```

Formation enthalpy at 0 K in eV/atom: -0.2256
Size of the total moment in μB/atom: 0.025
V in Å³ per cell: 74.47
Space group: P4/mmm

=====

No. 10
U2OsPt: relaxed, GGA-PBE.

The structure in POSCAR format:
```
U2OsPt
1.0
3.021 0.000 0.000
0.000 3.021 0.000
0.000 0.000 8.302
U Os Pt
2 1 1
direct
0.000 0.000 0.238 U
0.000 0.000 0.762 U
0.500 0.500 0.000 Os
0.500 0.500 0.500 Pt
```

Formation enthalpy at 0 K in eV/atom: -0.2706
Size of the total moment in μB/atom: 0.440
V in Å³ per cell: 75.78
Space group: P4/mmm

=====

No. 11
VOsPt: relaxed, GGA-PBE.

The structure in POSCAR format:
```
VOsPt
1.0
1.925 -5.779 0.000
1.925 5.779 0.000
0.000 0.000 3.912
V Os Pt
2 2 2
direct
0.098 0.902 0.750 V
0.902 0.098 0.250 V
0.252 0.748 0.250 Os
0.748 0.252 0.750 Os
0.420 0.580 0.750 Pt
0.580 0.420 0.250 Pt
```

Formation enthalpy at 0 K in eV/atom: -0.2895
Size of the total moment in μB/atom: 0.000
V in Å³ per cell: 87.03
Space group: Cmcm
Relative energy among the computed polymorphs in kJ per mole of atoms: 7.6

=====

No. 12
VOsPt: relaxed, GGA-PBE.

The structure in POSCAR format:
```
VOsPt
1.0
2.374 -4.143 0.000
2.374 4.143 0.000
-1.814 0.000 4.395
V Os Pt
2 2 2
direct
0.089 0.911 0.750 V
0.911 0.089 0.250 V
0.428 0.572 0.750 Os
0.572 0.428 0.250 Os
0.244 0.756 0.250 Pt
0.756 0.244 0.750 Pt
```

Formation enthalpy at 0 K in eV/atom: -0.2392
Size of the total moment in μB/atom: 0.000
V in Å³ per cell: 86.45
Space group: C2/c
Relative energy among the computed polymorphs in kJ per mole of atoms: 12.5

=====

No. 13
VOsPt: relaxed, GGA-PBE.

The structure in POSCAR format:
```
VOsPt
1.0
4.302 0.000 0.000
0.000 4.176 2.398
0.000 -4.176 2.398
V Os Pt
2 2 2
direct
0.000 0.171 0.829 V
0.000 0.829 0.171 V
0.500 0.504 0.853 Os
0.500 0.853 0.504 Os
0.000 0.506 0.506 Pt
0.500 0.163 0.163 Pt
```

Formation enthalpy at 0 K in eV/atom: -0.2926
Size of the total moment in μB/atom: 0.000
V in Å³ per cell: 86.16
Space group: Amm2
Relative energy among the computed polymorphs in kJ per mole of atoms: 7.3

=====

No. 14
V5OsPt4: relaxed, GGA-PBE.

The structure in POSCAR format:
```
V5OsPt4
1.0
3.281 0.000 0.000
0.000 3.281 0.000
0.000 0.000 13.565
V Os Pt
5 1 4
direct
0.000 0.000 0.000 V
0.000 0.000 0.202 V
0.000 0.000 0.404 V
0.000 0.000 0.596 V
0.000 0.000 0.798 V
0.500 0.500 0.500 Os
0.500 0.500 0.099 Pt
0.500 0.500 0.298 Pt
0.500 0.500 0.702 Pt
0.500 0.500 0.901 Pt
```

Formation enthalpy at 0 K in eV/atom: -0.3087
Size of the total moment in μB/atom: 0.052
V in Å³ per cell: 146.00
Space group: P4/mmm

=====

No. 15
V2Os3Pt2: relaxed, GGA-PBE.

The structure in POSCAR format:
```
V2Os3Pt2
1.0
1.362 -13.800 0.000
1.362 13.800 0.000
0.000 0.000 2.724
V Os Pt
2 3 2
direct
0.139 0.861 0.000 V
0.861 0.139 0.000 V
0.000 0.000 0.000 Os
0.430 0.570 0.500 Os
0.570 0.430 0.500 Os
0.294 0.706 0.500 Pt
0.706 0.294 0.500 Pt
```

Formation enthalpy at 0 K in eV/atom: -0.2045
Size of the total moment in μB/atom: 0.000
V in Å³ per cell: 102.38
Space group: Cmmm

=====

No. 16
VOsPt: relaxed, GGA-PBE.

The structure in POSCAR format:
```
VOsPt
1.0
1.939 -5.757 0.000
1.939 5.757 0.000
0.000 0.000 3.864
V Os Pt
2 2 2
direct
0.155 0.845 0.000 V
0.845 0.155 0.000 V
0.000 0.000 0.500 Os
0.500 0.500 0.000 Os
0.332 0.668 0.500 Pt
0.668 0.332 0.500 Pt
```

Formation enthalpy at 0 K in eV/atom: -0.3684
Size of the total moment in μB/atom: 0.001
V in Å³ per cell: 86.25
Space group: Cmmm
Relative energy among the computed polymorphs in kJ per mole of atoms: 0.0

=====

No. 17
VOsPt: relaxed, GGA-PBE.

The structure in POSCAR format:
```
VOsPt
1.0
2.730 0.000 0.000
0.000 4.393 0.000
-1.386 0.000 7.174
V Os Pt
2 2 2
direct
0.112 0.250 0.226 V
0.888 0.750 0.774 V
0.226 0.750 0.451 Os
0.774 0.250 0.549 Os
0.444 0.250 0.884 Pt
0.556 0.750 0.116 Pt
```

Formation enthalpy at 0 K in eV/atom: -0.3293
Size of the total moment in μB/atom: 0.000
V in Å³ per cell: 86.03
Space group: P2_1/m
Relative energy among the computed polymorphs in kJ per mole of atoms: 3.8

=====

No. 18
VOsPt: relaxed, GGA-PBE.

The structure in POSCAR format:
```
VOsPt
1.0
4.783 0.000 0.000
-2.378 4.174 0.000
-0.030 -2.682 4.328
V Os Pt
2 2 2
direct
0.095 0.336 0.236 V
0.905 0.664 0.764 V
0.234 0.330 0.746 Os
0.766 0.670 0.254 Os
0.420 0.007 0.250 Pt
0.580 0.993 0.750 Pt
```

Formation enthalpy at 0 K in eV/atom: -0.2278
Size of the total moment in μB/atom: 0.000
V in Å³ per cell: 86.39
Space group: P-1
Relative energy among the computed polymorphs in kJ per mole of atoms: 13.6

=====

No. 19
V2OsPt2: relaxed, GGA-PBE.

The structure in POSCAR format:
```
V2OsPt2
1.0
-1.790 1.790 6.093
1.790 -1.790 6.093
1.790 1.790 -6.093
V Os Pt
2 1 2
direct
0.250 0.750 0.500 V
0.750 0.250 0.500 V
0.000 0.000 0.000 Os
0.397 0.397 0.000 Pt
0.603 0.603 0.000 Pt
```

Formation enthalpy at 0 K in eV/atom: 0.3247
Size of the total moment in μB/atom: 0.000
V in Å³ per cell: 78.06
Space group: I4/mmm
Relative energy among the computed polymorphs in kJ per mole of atoms: 65.3

=====

No. 20
V2OsPt2: relaxed, GGA-PBE.

The structure in POSCAR format:
```
V2OsPt2
1.0
4.251 -1.914 0.000
4.251 1.914 0.000
-4.080 0.000 4.421
V Os Pt
2 1 2
direct
0.092 0.092 0.302 V
0.908 0.908 0.698 V
0.500 0.500 0.500 Os
0.301 0.301 0.894 Pt
0.699 0.699 0.106 Pt
```

Formation enthalpy at 0 K in eV/atom: -0.3523
Size of the total moment in μB/atom: 0.000
V in Å³ per cell: 71.96
Space group: C2/m
Relative energy among the computed polymorphs in kJ per mole of atoms: 0.0

=====

No. 21
VOsPt2: relaxed, GGA-PBE.

The structure in POSCAR format:
```
VOsPt2
1.0
3.816 0.000 0.000
0.000 3.816 0.000
0.000 0.000 4.001
V Os Pt
1 1 2
direct
0.000 0.000 0.000 V
0.500 0.500 0.000 Os
0.000 0.500 0.500 Pt
0.500 0.000 0.500 Pt
```

Formation enthalpy at 0 K in eV/atom: -0.2970
Size of the total moment in μB/atom: 0.059
V in Å³ per cell: 58.26
Space group: P4/mmm
Relative energy among the computed polymorphs in kJ per mole of atoms: 0.0

=====

No. 22
V3OsPt2: relaxed, GGA-PBE.

The structure in POSCAR format:
```
V3OsPt2
1.0
4.658 0.000 0.000
0.000 2.754 0.000
-0.243 0.000 6.655
V Os Pt
3 1 2
direct
0.000 0.000 0.000 V
0.319 0.000 0.689 V
0.681 0.000 0.311 V
0.500 0.500 0.000 Os
0.182 0.500 0.342 Pt
0.818 0.500 0.658 Pt
```

Formation enthalpy at 0 K in eV/atom: -0.4298
Size of the total moment in μB/atom: 0.000
V in Å³ per cell: 85.38
Space group: P2/m

=====

No. 23
VOsPt: relaxed, GGA-PBE.

The structure in POSCAR format:
```
VOsPt
1.0
4.110 -2.380 0.000
4.110 2.380 0.000
-2.739 0.000 4.394
V Os Pt
2 2 2
direct
0.164 0.164 0.491 V
0.836 0.836 0.509 V
0.332 0.668 0.000 Os
0.499 0.501 0.500 Os
0.665 0.001 0.999 Pt
0.999 0.335 0.001 Pt
```

Formation enthalpy at 0 K in eV/atom: -0.2391
Size of the total moment in μB/atom: 0.000
V in Å³ per cell: 85.94
Space group: C2
Relative energy among the computed polymorphs in kJ per mole of atoms: 12.5

=====

No. 24
V2Os2Pt: relaxed, GGA-PBE.

The structure in POSCAR format:
```
V2Os2Pt
1.0
7.227 0.000 0.000
0.000 7.227 0.000
0.000 0.000 2.821
V Os Pt
4 4 2
direct
0.146 0.354 0.000 V
0.354 0.854 0.000 V
0.646 0.146 0.000 V
0.854 0.646 0.000 V
0.150 0.650 0.500 Os
0.350 0.150 0.500 Os
0.650 0.850 0.500 Os
0.850 0.350 0.500 Os
0.000 0.000 0.000 Pt
0.500 0.500 0.000 Pt
```

Formation enthalpy at 0 K in eV/atom: -0.0201
Size of the total moment in μB/atom: 0.000
V in Å³ per cell: 147.33
Space group: P4/mbm
Relative energy among the computed polymorphs in kJ per mole of atoms: 7.7

=====

no.,DOS(E_F) (states/eV/f.u.)
1,10.82
2,5.42
3,10.28
4,6.41
5,1.85
6,2.40
7,15.99
8,8.12
9,6.75
10,6.70
11,3.42
12,2.82
13,3.16
14,13.52
15,7.03
16,1.90
17,2.69
18,2.92
19,5.39
20,5.14
21,3.15
22,6.22
23,2.45
24,4.73